VASP calculation (PBE) on crystalline PaTeAs at its relaxed geometry.

Volume = 80.6 Å³/f.u.
Final energy = -6.31 eV per atom
Symmetry = No. 187

a b c (Å): 4.117 4.755 4.755
angles (deg): 120.00 90.00 90.00
Sites, in units of the cell vectors:
Pa 0.167 0.667 0.333
As 0.167 0.000 0.000
Te 0.666 0.333 0.667

=====

VASP calculation (PBE) on crystalline CaZn2H6 at its relaxed geometry.

Volume = 110.8 Å³/f.u.
Final energy = -2.86 eV per atom
Symmetry = No. 12

a b c (Å): 4.111 5.696 5.409
angles (deg): 108.82 90.00 111.15
Sites, in units of the cell vectors:
H 0.773 0.545 0.154
H 0.894 0.789 0.784
H 0.227 0.455 0.846
H 0.396 0.792 0.385
H 0.106 0.211 0.216
H 0.604 0.208 0.615
Ca 0.000 0.000 0.500
Zn 0.755 0.510 0.829
Zn 0.245 0.490 0.171

=====

VASP calculation (PBE) on crystalline ZrReAg2 at its relaxed geometry.

Volume = 71.0 Å³/f.u.
Final energy = -6.20 eV per atom
Energy of formation = 1.9 eV/f.u.
Distance to the lowest polymorph of the same formula = 261 meV/atom
Symmetry = No. 65

a b c (Å): 2.743 2.743 9.741
angles (deg): 90.00 90.00 104.56
Sites, in units of the cell vectors:
Zr 0.500 0.500 0.750
Re 0.500 0.500 0.250
Ag 0.000 0.000 0.009
Ag 0.000 0.000 0.491

=====

VASP calculation (PBE) on crystalline SiPb at its relaxed geometry.

Volume = 48.9 Å³/f.u.
Final energy = -4.20 eV per atom
Symmetry = No. 74

a b c (Å): 6.255 6.255 6.255
angles (deg): 145.98 133.95 58.47
Sites, in units of the cell vectors:
Pb 0.731 0.231 0.500
Pb 0.019 0.019 0.000
Si 0.303 0.803 0.500
Si 0.447 0.447 0.000

=====

- Look up the final energy of the second one.
  -2.86 eV per atom

=====

- Which of these has the highest final energy?
  CaZn2H6

=====

- Among the records above, which one has the highest final energy?
  CaZn2H6

=====

- The highest final energy belongs to which entry?
  CaZn2H6